w.
8
Lattice="3.2154 0.0000 0.0000 0.0000 4.5772 0.0000 0.0000 0.0000 11.8616" Properties=species:S:1:pos:R:3 comment="CuIrPb2, optimized geometry, DFT PBE" vol_a3_per_cell=175 spacegroup="No. 44" pbc="T T T"
Cu 0.0000 0.0000 0.0000
Cu 1.6077 2.2886 5.9308
Ir 0.0000 2.2886 7.9795
Ir 1.6077 0.0000 2.0487
Pb 0.0000 0.0000 4.8075
Pb 0.0000 2.2886 2.2700
Pb 1.6077 0.0000 8.2008
Pb 1.6077 2.2886 10.7383

---

x.
4
Lattice="3.2866 0.0000 0.0000 0.0000 3.2866 0.0000 0.0000 0.0000 8.1954" Properties=species:S:1:pos:R:3 comment="CuIrPb2, optimized geometry, DFT PBE" vol_a3_per_cell=89 spacegroup="No. 99" pbc="T T T"
Cu 0.0000 0.0000 0.0000
Ir 1.6433 1.6433 1.2652
Pb 0.0000 0.0000 3.0806
Pb 1.6433 1.6433 6.4485

---

y.
16
Lattice="6.8643 0.0000 0.0000 0.0000 6.8643 0.0000 0.0000 0.0000 6.8643" Properties=species:S:1:pos:R:3 comment="CuIrPb2, optimized geometry, DFT PBE" vol_a3_per_cell=323 spacegroup="No. 225" pbc="T T T"
Cu 0.0000 0.0000 0.0000
Cu 0.0000 3.4322 3.4322
Cu 3.4322 0.0000 3.4322
Cu 3.4322 3.4322 0.0000
Ir 0.0000 0.0000 3.4322
Ir 0.0000 3.4322 0.0000
Ir 3.4322 0.0000 0.0000
Ir 3.4322 3.4322 3.4322
Pb 1.7161 1.7161 1.7161
Pb 1.7161 1.7161 5.1482
Pb 1.7161 5.1482 1.7161
Pb 1.7161 5.1482 5.1482
Pb 5.1482 1.7161 1.7161
Pb 5.1482 1.7161 5.1482
Pb 5.1482 5.1482 1.7161
Pb 5.1482 5.1482 5.1482

---

z.
12
Lattice="3.3661 0.0000 0.0000 -1.6831 2.9152 0.0000 0.0000 0.0000 25.4835" Properties=species:S:1:pos:R:3 comment="CuIrPb2, optimized geometry, DFT PBE" vol_a3_per_cell=250 spacegroup="No. 166" pbc="T T T"
Cu 0.0000 0.0000 0.0000
Cu 0.0000 1.9434 16.9890
Cu 1.6831 0.9717 8.4945
Ir 0.0000 0.0000 12.7418
Ir 0.0000 1.9434 4.2473
Ir 1.6831 0.9717 21.2363
Pb 0.0000 0.0000 6.3553
Pb 0.0000 0.0000 19.1283
Pb 0.0000 1.9434 10.6338
Pb 0.0000 1.9434 23.3443
Pb 1.6831 0.9717 2.1392
Pb 1.6831 0.9717 14.8498

---

Stability order, top to bottom: x, w, y, z

---

w.
4
Lattice="3.3614 0.0000 0.0000 0.0000 3.5184 0.0000 -0.8150 0.0000 7.0209" Properties=species:S:1:pos:R:3 comment="CuIrPb2, optimized geometry, DFT PBE" vol_a3_per_cell=83 spacegroup="No. 10" pbc="T T T"
Cu 0.0000 0.0000 0.0000
Ir -0.4075 0.0000 3.5104
Pb 1.3579 1.7592 1.8184
Pb 1.1885 1.7592 5.2025

---

x.
12
Lattice="3.2486 0.0000 0.0000 -1.6243 2.8134 0.0000 0.0000 0.0000 29.3121" Properties=species:S:1:pos:R:3 comment="CuIrPb2, optimized geometry, DFT PBE" vol_a3_per_cell=268 spacegroup="No. 160" pbc="T T T"
Cu 0.0000 0.0000 0.0000
Cu 0.0000 1.8756 19.5414
Cu 1.6243 0.9378 9.7707
Ir 0.0000 0.0000 21.3332
Ir 0.0000 1.8756 11.5625
Ir 1.6243 0.9378 1.7918
Pb 0.0000 0.0000 7.5987
Pb 0.0000 0.0000 13.7209
Pb 0.0000 1.8756 3.9502
Pb 0.0000 1.8756 27.1401
Pb 1.6243 0.9378 17.3695
Pb 1.6243 0.9378 23.4916

---

Stability order, top to bottom: x, w

---

w.
8
Lattice="8.5198 0.0000 0.0000 0.0000 3.3332 0.0000 -1.1827 0.0000 6.5152" Properties=species:S:1:pos:R:3 comment="CuIrPb2, optimized geometry, DFT PBE" vol_a3_per_cell=185 spacegroup="No. 8" pbc="T T T"
Cu 0.0000 0.0000 0.0000
Cu 4.2599 1.6666 0.0000
Ir 1.7833 1.6666 0.9068
Ir 6.0432 0.0000 0.9068
Pb 1.2312 0.0000 5.1100
Pb 3.5878 0.0000 2.3426
Pb 5.4911 1.6666 5.1100
Pb 7.8477 1.6666 2.3426

---

x.
4
Lattice="3.8178 0.0000 0.0000 0.0000 4.2816 0.0000 -1.9086 0.0000 5.0904" Properties=species:S:1:pos:R:3 comment="CuIrPb2, optimized geometry, DFT PBE" vol_a3_per_cell=83 spacegroup="No. 6" pbc="T T T"
Cu 0.0000 0.0000 0.0000
Ir 0.0132 2.1408 1.4920
Pb 0.0097 2.1408 4.4172
Pb 1.9188 0.0000 2.2779

---

Stability order, top to bottom: x, w

---

w.
8
Lattice="4.8256 0.0000 0.0000 0.0000 4.8385 0.0000 0.0000 0.0000 7.1032" Properties=species:S:1:pos:R:3 comment="CuIrPb2, optimized geometry, DFT PBE" vol_a3_per_cell=166 spacegroup="No. 65" pbc="T T T"
Cu 0.0000 0.0000 0.0000
Cu 2.4128 2.4193 0.0000
Ir 0.0000 0.0000 3.5516
Ir 2.4128 2.4193 3.5516
Pb 0.0000 2.4193 1.8349
Pb 0.0000 2.4193 5.2683
Pb 2.4128 0.0000 1.8349
Pb 2.4128 0.0000 5.2683

---

x.
16
Lattice="6.9357 0.0000 0.0000 0.0000 6.9357 0.0000 0.0000 0.0000 6.9357" Properties=species:S:1:pos:R:3 comment="CuIrPb2, optimized geometry, DFT PBE" vol_a3_per_cell=334 spacegroup="No. 216" pbc="T T T"
Cu 0.0000 0.0000 0.0000
Cu 0.0000 3.4679 3.4679
Cu 3.4679 0.0000 3.4679
Cu 3.4679 3.4679 0.0000
Ir 1.7339 1.7339 1.7339
Ir 1.7339 5.2018 5.2018
Ir 5.2018 1.7339 5.2018
Ir 5.2018 5.2018 1.7339
Pb 0.0000 0.0000 3.4679
Pb 0.0000 3.4679 0.0000
Pb 1.7339 1.7339 5.2018
Pb 1.7339 5.2018 1.7339
Pb 3.4679 0.0000 0.0000
Pb 3.4679 3.4679 3.4679
Pb 5.2018 1.7339 1.7339
Pb 5.2018 5.2018 5.2018

---

y.
8
Lattice="4.0846 0.0000 0.0000 0.0000 4.0846 0.0000 0.0000 0.0000 9.9013" Properties=species:S:1:pos:R:3 comment="CuIrPb2, optimized geometry, DFT PBE" vol_a3_per_cell=165 spacegroup="No. 119" pbc="T T T"
Cu 0.0000 0.0000 0.0000
Cu 2.0423 2.0423 4.9507
Ir 0.0000 2.0423 7.4260
Ir 2.0423 0.0000 2.4753
Pb 0.0000 0.0000 4.9507
Pb 0.0000 2.0423 2.4753
Pb 2.0423 0.0000 7.4260
Pb 2.0423 2.0423 0.0000

---

Stability order, top to bottom: w, y, x